# 1
Computed, not measured: a relaxed structure of Ni2Te at the GGA-PBE level of DFT.

Cell and atoms, written as POSCAR:
```
Ni2Te
1.0
-1.715 1.715 3.759
1.715 -1.715 3.759
1.715 1.715 -3.759
Ni Te
2 1
direct
0.170 0.170 0.000
0.830 0.830 0.000
0.500 0.500 0.000
```

Values from the calculation:
Fermi-level density of states: 2.02 states/eV/f.u.
formation energy without anion corrections: 0.0376 eV per atom
E_tot: -4.864 eV per atom
magnetic moment: 0.000 μB/atom


# 2
Computed, not measured: a relaxed structure of Ni3Te5 at the GGA-PBE level of DFT.

Cell and atoms, written as POSCAR:
```
Ni3Te5
1.0
4.048 -5.942 0.000
4.048 5.942 0.000
0.000 0.000 3.803
Ni Te
3 5
direct
0.000 0.000 0.000
0.167 0.833 0.500
0.833 0.167 0.500
0.000 0.500 0.000
0.202 0.202 0.500
0.500 0.000 0.000
0.500 0.500 0.000
0.798 0.798 0.500
```

Values from the calculation:
Fermi-level density of states: 8.47 states/eV/f.u.
relative energy among the computed polymorphs: 13 kJ/mol of formula units
formation energy without anion corrections: 0.2270 eV per atom
E_tot: -3.905 eV per atom
magnetic moment: 0.000 μB/atom


# 3
Computed, not measured: a relaxed structure of Ni3Te5 at the GGA-PBE level of DFT.

Cell and atoms, written as POSCAR:
```
Ni3Te5
1.0
7.404 0.000 0.000
-3.702 6.412 0.000
0.000 0.000 7.994
Ni Te
6 10
direct
0.000 0.378 0.250
0.000 0.622 0.750
0.378 0.000 0.250
0.378 0.378 0.750
0.622 0.000 0.750
0.622 0.622 0.250
0.000 0.285 0.750
0.000 0.715 0.250
0.285 0.000 0.750
0.285 0.285 0.250
0.333 0.667 0.000
0.333 0.667 0.500
0.667 0.333 0.000
0.667 0.333 0.500
0.715 0.000 0.250
0.715 0.715 0.750
```

Values from the calculation:
Fermi-level density of states: 7.58 states/eV/f.u.
relative energy among the computed polymorphs: 0 kJ/mol of formula units
formation energy without anion corrections: 0.2101 eV per atom
E_tot: -3.921 eV per atom
magnetic moment: 0.000 μB/atom


# 4
Computed, not measured: a relaxed structure of NiTe3 at the GGA-PBE level of DFT.

Cell and atoms, written as POSCAR:
```
NiTe3
1.0
2.842 -4.436 0.000
2.842 4.436 0.000
0.000 0.000 3.877
Ni Te
1 3
direct
0.000 0.000 0.000
0.190 0.810 0.500
0.500 0.500 0.000
0.810 0.190 0.500
```

Values from the calculation:
Fermi-level density of states: 1.56 states/eV/f.u.
formation energy without anion corrections: -0.0552 eV per atom
E_tot: -3.857 eV per atom
magnetic moment: 0.000 μB/atom


# 5
Computed, not measured: a relaxed structure of NiTe at the GGA-PBE level of DFT.

Cell and atoms, written as POSCAR:
```
NiTe
1.0
2.453 -3.541 0.000
2.453 3.541 0.000
0.000 0.000 4.590
Ni Te
2 2
direct
0.096 0.904 0.750
0.904 0.096 0.250
0.265 0.735 0.250
0.735 0.265 0.750
```

Values from the calculation:
Fermi-level density of states: 1.20 states/eV/f.u.
formation energy without anion corrections: -0.1512 eV per atom
E_tot: -4.613 eV per atom
magnetic moment: 0.000 μB/atom


# 6
Computed, not measured: a relaxed structure of NiTe3 at the GGA-PBE level of DFT.

Cell and atoms, written as POSCAR:
```
NiTe3
1.0
-1.826 5.586 2.669
1.826 -5.586 2.669
1.826 5.586 -2.669
Ni Te
1 3
direct
0.000 0.000 0.000
0.024 0.372 0.652
0.356 0.856 0.500
0.719 0.372 0.348
```

Values from the calculation:
Fermi-level density of states: 2.37 states/eV/f.u.
formation energy without anion corrections: -0.0022 eV per atom
E_tot: -3.804 eV per atom
magnetic moment: 0.000 μB/atom


# 7
Computed, not measured: a relaxed structure of NiTe2 at the GGA-PBE level of DFT.

Cell and atoms, written as POSCAR:
```
NiTe2
1.0
3.895 0.000 0.000
-1.948 3.374 0.000
0.000 0.000 5.267
Ni Te
1 2
direct
0.000 0.000 0.000
0.333 0.667 0.752
0.667 0.333 0.248
```

Values from the calculation:
Fermi-level density of states: 2.36 states/eV/f.u.
formation energy without anion corrections: -0.2178 eV per atom
E_tot: -4.239 eV per atom
magnetic moment: 0.000 μB/atom


# 8
Computed, not measured: a relaxed structure of Ni2Te at the GGA-PBE level of DFT.

Cell and atoms, written as POSCAR:
```
Ni2Te
1.0
3.589 0.000 0.000
0.000 3.589 0.000
0.000 0.000 3.814
Ni Te
2 1
direct
0.000 0.500 0.000
0.500 0.000 0.000
0.000 0.000 0.500
```

Values from the calculation:
Fermi-level density of states: 1.79 states/eV/f.u.
formation energy without anion corrections: 0.0991 eV per atom
E_tot: -4.802 eV per atom
magnetic moment: 0.000 μB/atom